No. 1
Entry from Alexandria via LeMat-Bulk: crystalline CsLiMoCl6 at its relaxed geometry (GGA-PBE).

abc: 6.5704 6.5704 7.7964
angles: 90.00 90.00 120.00
Atoms (fractional coordinates):
Cs  0.0000  0.0000  0.0000
Li  0.3333  0.6667  0.5000
Mo  0.6667  0.3333  0.5000
Cl  0.3825  0.0215  0.6779
Cl  0.3825  0.3609  0.3221
Cl  0.6391  0.0215  0.3221
Cl  0.6391  0.6175  0.6779
Cl  0.9785  0.3609  0.6779
Cl  0.9785  0.6175  0.3221

Values from the calculation:
- M_tot (μB per formula unit) = 2.00
- SG = P312
- calculated volume (Å³/atom) = 32.39
- E_form (uncorrected) (eV per atom) = -1.3404

=====

No. 2
Entry from Alexandria via LeMat-Bulk: crystalline CsLi2MoCl8 at its relaxed geometry (GGA-PBE).

abc: 6.3845 6.4449 9.4803
angles: 83.77 83.01 69.85
Atoms (fractional coordinates):
Cs  0.0000  0.0000  0.0000
Li  0.4979  0.4937  0.8402
Li  0.5021  0.5063  0.1598
Mo  0.0000  0.0000  0.5000
Cl  0.1999  0.7351  0.6745
Cl  0.2052  0.2221  0.5236
Cl  0.2742  0.8180  0.3186
Cl  0.3312  0.3370  0.0326
Cl  0.6688  0.6630  0.9674
Cl  0.7258  0.1820  0.6814
Cl  0.7948  0.7779  0.4764
Cl  0.8001  0.2649  0.3255

Values from the calculation:
- M_tot (μB per formula unit) = 1.00
- SG = P-1
- calculated volume (Å³/atom) = 30.21
- E_form (uncorrected) (eV per atom) = -1.2807